The following is a DFT calculation (SCAN) of a crystal of Mg2RhBr relaxed with PBEsol. Values from VASP.

Geometry as Quantum ESPRESSO input:
```
&SYSTEM
  ibrav = 0, nat = 4, ntyp = 3
/
ATOMIC_SPECIES
Mg 24.30 Mg.upf
Rh 102.91 Rh.upf
Br 79.90 Br.upf
CELL_PARAMETERS angstrom
4.260 0.000 0.000
0.000 1.665 5.058
0.000 -1.665 5.058
ATOMIC_POSITIONS crystal
Mg 0.000 0.000 0.000
Mg 0.500 0.310 0.310
Rh 0.500 0.568 0.568
Br 0.000 0.729 0.729
```

Summary:
E	-64.84	eV/cell
formation energy without anion corrections	-417	meV per atom
density of states at the Fermi level	0.54	states/eV/cell
SG	Amm2